[1]
Computed, not measured: a relaxed structure of CeGaPd2 at the GGA-PBEsol level of DFT.

Geometry as CIF:
```
data_CeGaPd2
_chemical_formula_sum 'Ce4 Ga4 Pd8'
_cell_length_a 7.481
_cell_length_b 6.920
_cell_length_c 5.663
_cell_angle_alpha 90.00
_cell_angle_beta 90.00
_cell_angle_gamma 90.00
_space_group_name_H-M_alt 'P 1'
_space_group_IT_number 1
loop_
_space_group_symop_operation_xyz
'x,y,z'
loop_
_atom_site_label
_atom_site_fract_x
_atom_site_fract_y
_atom_site_fract_z
Ce1 0.038 0.250 0.155
Ce2 0.462 0.750 0.655
Ce3 0.538 0.250 0.345
Ce4 0.962 0.750 0.845
Ga1 0.113 0.750 0.342
Ga2 0.387 0.250 0.842
Ga3 0.613 0.750 0.158
Ga4 0.887 0.250 0.658
Pd1 0.181 0.050 0.585
Pd2 0.181 0.450 0.585
Pd3 0.319 0.550 0.085
Pd4 0.319 0.950 0.085
Pd5 0.681 0.050 0.915
Pd6 0.681 0.450 0.915
Pd7 0.819 0.550 0.415
Pd8 0.819 0.950 0.415
```

Results
**Density of states at the Fermi level**: 1.313 states/eV/atom
**Size of the total moment**: 0.45 μB per formula unit
**Total DFT energy (no corrections)**: -6.2368 eV/atom
**Crystal system**: orthorhombic
**Space-group type**: Pnma, No. 62
**Energy of formation from the pure elements**: -0.7736 eV per atom

---

[2]
Computed, not measured: a relaxed structure of RbGe3C at the GGA-PBEsol level of DFT.

Geometry as CIF:
```
data_RbGe3C
_chemical_formula_sum 'Rb1 Ge3 C1'
_cell_length_a 5.558
_cell_length_b 5.558
_cell_length_c 5.558
_cell_angle_alpha 90.00
_cell_angle_beta 90.00
_cell_angle_gamma 90.00
_space_group_name_H-M_alt 'P 1'
_space_group_IT_number 1
loop_
_space_group_symop_operation_xyz
'x,y,z'
loop_
_atom_site_label
_atom_site_fract_x
_atom_site_fract_y
_atom_site_fract_z
Rb1 0.000 0.000 0.000
Ge1 0.000 0.000 0.500
Ge2 0.000 0.500 0.000
Ge3 0.500 0.000 0.000
C1 0.500 0.500 0.500
```

Results
**Density of states at the Fermi level**: 0.785 states/eV/atom
**Size of the total moment**: 0.05 μB per formula unit
**Total DFT energy (no corrections)**: -1.9742 eV/atom
**Crystal system**: cubic
**Space-group type**: Pm-3m, No. 221
**Energy of formation from the pure elements**: 3.1230 eV per atom

---

[3]
Computed, not measured: a relaxed structure of ReMoSe2 at the GGA-PBEsol level of DFT.

Geometry as CIF:
```
data_ReMoSe2
_chemical_formula_sum 'Re2 Mo2 Se4'
_cell_length_a 7.960
_cell_length_b 3.020
_cell_length_c 5.239
_cell_angle_alpha 90.00
_cell_angle_beta 102.38
_cell_angle_gamma 90.00
_space_group_name_H-M_alt 'P 1'
_space_group_IT_number 1
loop_
_space_group_symop_operation_xyz
'x,y,z'
loop_
_atom_site_label
_atom_site_fract_x
_atom_site_fract_y
_atom_site_fract_z
Re1 0.000 0.000 0.000
Re2 0.500 0.500 0.000
Mo1 0.000 0.500 0.500
Mo2 0.500 0.000 0.500
Se1 0.249 0.000 0.751
Se2 0.251 0.500 0.249
Se3 0.749 0.500 0.751
Se4 0.751 0.000 0.249
```

Results
**Density of states at the Fermi level**: 1.030 states/eV/atom
**Size of the total moment**: 0.00 μB per formula unit
**Total DFT energy (no corrections)**: -7.9362 eV/atom
**Crystal system**: monoclinic
**Energy above the lowest structure with this stoichiometry**: 0 meV per atom
**Formation energy without anion corrections**: 1.1 eV per formula unit
**Space-group type**: C2/m, No. 12

---

Please write out number 2 again, unchanged.
Computed, not measured: a relaxed structure of RbGe3C at the GGA-PBEsol level of DFT.

Geometry as CIF:
```
data_RbGe3C
_chemical_formula_sum 'Rb1 Ge3 C1'
_cell_length_a 5.558
_cell_length_b 5.558
_cell_length_c 5.558
_cell_angle_alpha 90.00
_cell_angle_beta 90.00
_cell_angle_gamma 90.00
_space_group_name_H-M_alt 'P 1'
_space_group_IT_number 1
loop_
_space_group_symop_operation_xyz
'x,y,z'
loop_
_atom_site_label
_atom_site_fract_x
_atom_site_fract_y
_atom_site_fract_z
Rb1 0.000 0.000 0.000
Ge1 0.000 0.000 0.500
Ge2 0.000 0.500 0.000
Ge3 0.500 0.000 0.000
C1 0.500 0.500 0.500
```

Results
**Density of states at the Fermi level**: 0.785 states/eV/atom
**Size of the total moment**: 0.05 μB per formula unit
**Total DFT energy (no corrections)**: -1.9742 eV/atom
**Crystal system**: cubic
**Space-group type**: Pm-3m, No. 221
**Energy of formation from the pure elements**: 3.1230 eV per atom

---

> Among the records above, which one has the lowest size of the total moment?

ReMoSe2

---

> The lowest total DFT energy (no corrections) belongs to which entry?

ReMoSe2